1.
The following is a PBE calculation of a relaxed structure of AcLa4Y3Te8, from the Alexandria database.

Values from the calculation:
* uncorrected energy: -5.73 eV per atom
* calculated volume: 32.8 Å³ per atom
* ΔE_f (raw): -23.396 eV/f.u.

The structure in extended XYZ format:
```
16
Lattice="4.5225 2.6111 7.3971 -4.5225 2.6111 7.3971 0.0000 -5.2221 7.3971" Properties=species:S:1:pos:R:3 pbc="T T T"
Ac 0.0000 0.0000 0.0000
La -4.5225 0.0000 11.0956
La -2.2612 1.3055 3.6985
La 2.2612 1.3055 3.6985
La 0.0000 0.0000 11.0956
Y -2.2612 -1.3055 7.3971
Y -2.2612 1.3055 14.7941
Y 0.0000 2.6111 7.3971
Te 0.0000 -2.5166 9.1855
Te -2.1794 1.2583 9.1855
Te 0.0000 0.0000 5.6671
Te -2.1794 -1.2583 13.0057
Te 2.1794 1.2583 9.1854
Te 0.0000 0.0000 16.5241
Te 2.1794 -1.2583 13.0057
Te 0.0000 2.5165 13.0057
```

=====

2.
The following is a PBE calculation of a relaxed structure of BaTl3Tc, from the Alexandria database.

Values from the calculation:
* offset from the most stable computed form: 1588.6 meV per atom
* uncorrected energy: -2.26 eV per atom
* energy of formation: 1.620 eV per atom
* calculated volume: 50.6 Å³ per atom

The structure in extended XYZ format:
```
5
Lattice="6.3252 0.0000 0.0000 0.0000 6.3252 0.0000 0.0000 0.0000 6.3252" Properties=species:S:1:pos:R:3 pbc="T T T"
Ba 0.0000 0.0000 0.0000
Tl 0.0000 0.0000 3.1626
Tl 0.0000 3.1626 0.0000
Tl 3.1626 0.0000 0.0000
Tc 3.1626 3.1626 3.1626
```

=====

3.
The following is a PBE calculation of a relaxed structure of ZnInAg2, from the Alexandria database.

Values from the calculation:
* uncorrected energy: -2.39 eV per atom
* energy of formation: 0.043 eV per atom
* calculated volume: 20.2 Å³ per atom

The structure in extended XYZ format:
```
4
Lattice="2.2388 1.2926 4.6594 -2.2388 1.2926 4.6594 0.0000 -2.5851 4.6594" Properties=species:S:1:pos:R:3 pbc="T T T"
Zn 0.0000 0.0000 0.0000
In 0.0000 0.0000 2.7731
Ag 0.0000 0.0000 5.8056
Ag 0.0000 0.0000 8.7499
```

=====

4.
The following is a PBE calculation of a relaxed structure of KLiInBi2, from the Alexandria database.

Values from the calculation:
* uncorrected energy: -3.02 eV per atom
* energy of formation: -0.313 eV per atom
* calculated volume: 32.4 Å³ per atom

The structure in extended XYZ format:
```
5
Lattice="-2.3405 2.3405 7.3968 2.3405 -2.3405 7.3968 2.3405 2.3405 -7.3968" Properties=species:S:1:pos:R:3 pbc="T T T"
K 0.0000 0.0000 0.0000
Li 2.3405 0.0000 3.6984
In 0.0000 2.3405 3.6984
Bi 0.0000 0.0000 5.5951
Bi 0.0000 0.0000 9.1986
```

=====

5.
The following is a PBE calculation of a relaxed structure of Tm3HfN4, from the Alexandria database.

Values from the calculation:
* offset from the most stable computed form: 0.0 meV per atom
* uncorrected energy: -8.94 eV per atom
* calculated volume: 13.2 Å³ per atom
* ΔE_f (raw): -14.850 eV/f.u.

The structure in extended XYZ format:
```
8
Lattice="3.3498 -4.7198 0.0000 3.3498 4.7198 0.0000 0.0000 0.0000 3.3360" Properties=species:S:1:pos:R:3 pbc="T T T"
Tm 0.0000 0.0000 0.0000
Tm 1.6749 2.3599 1.6680
Tm 1.6749 -2.3599 1.6680
Hf 3.3498 0.0000 0.0000
N 3.3498 2.2849 0.0000
N 1.7633 0.0000 1.6680
N 4.9364 0.0000 1.6680
N 3.3498 -2.2849 0.0000
```

=====

6.
The following is a PBE calculation of a relaxed structure of SbTe2MoPt, from the Alexandria database.

Values from the calculation:
* offset from the most stable computed form: 0.0 meV per atom
* uncorrected energy: -4.61 eV per atom
* calculated volume: 27.8 Å³ per atom
* ΔE_f (raw): 4.210 eV/f.u.

The structure in extended XYZ format:
```
5
Lattice="5.1520 0.0000 0.0000 0.0000 5.1520 0.0000 0.0000 0.0000 5.2289" Properties=species:S:1:pos:R:3 pbc="T T T"
Sb 0.0000 0.0000 0.0000
Te 0.0000 2.5760 2.6144
Te 2.5760 0.0000 2.6144
Mo 0.0000 0.0000 2.6144
Pt 2.5760 2.5760 0.0000
```